[1]
Entry from Alexandria via LeMat-Bulk: a relaxed structure of LiV2S3O12 (PBE+U).

Unit cell a=8.759 b=8.759 c=8.759 alpha=59.67 beta=59.67 gamma=59.67
Fractional coordinates of all 36 atoms:
1 Li 0.000 0.000 0.000
2 Li 0.500 0.500 0.500
3 V 0.144 0.144 0.144
4 V 0.356 0.356 0.356
5 V 0.644 0.644 0.644
6 V 0.856 0.856 0.856
7 S 0.047 0.750 0.453
8 S 0.250 0.547 0.953
9 S 0.453 0.047 0.750
10 S 0.547 0.953 0.250
11 S 0.750 0.453 0.047
12 S 0.953 0.250 0.547
13 O 0.009 0.810 0.602
14 O 0.063 0.906 0.268
15 O 0.094 0.732 0.937
16 O 0.102 0.310 0.509
17 O 0.190 0.398 0.991
18 O 0.232 0.594 0.437
19 O 0.268 0.063 0.906
20 O 0.310 0.509 0.102
21 O 0.398 0.991 0.190
22 O 0.406 0.563 0.768
23 O 0.437 0.232 0.594
24 O 0.491 0.898 0.690
25 O 0.509 0.102 0.310
26 O 0.563 0.768 0.406
27 O 0.594 0.437 0.232
28 O 0.602 0.009 0.810
29 O 0.690 0.491 0.898
30 O 0.732 0.937 0.094
31 O 0.768 0.406 0.563
32 O 0.810 0.602 0.009
33 O 0.898 0.690 0.491
34 O 0.906 0.268 0.063
35 O 0.937 0.094 0.732
36 O 0.991 0.190 0.398

Properties
Uncorrected energy (eV for the cell shown): -235.76


[2]
Entry from Alexandria via LeMat-Bulk: a relaxed structure of Li2WSO8 (PBE+U).

Unit cell a=5.664 b=5.664 c=5.105 alpha=90.00 beta=90.00 gamma=120.00
Fractional coordinates of all 12 atoms:
1 Li 0.333 0.667 0.093
2 Li 0.667 0.333 0.907
3 W 0.000 0.000 0.500
4 S 0.000 0.000 0.000
5 O 0.138 0.277 0.206
6 O 0.138 0.862 0.206
7 O 0.277 0.138 0.794
8 O 0.333 0.667 0.695
9 O 0.667 0.333 0.305
10 O 0.723 0.862 0.206
11 O 0.862 0.138 0.794
12 O 0.862 0.723 0.794

Properties
Uncorrected energy (eV for the cell shown): -64.17


Q: Which of these has the lowest uncorrected energy?
A: LiV2S3O12